Computed, not measured: an optimized crystal structure of Na2TlSi at the PBE-GGA level of DFT.

Properties
Formation energy without anion corrections = 304 meV per atom
Electronic total energy = -2.303 eV per atom
SG = I-42d (122)

Cell: 4.379 4.379 11.161 Å, 78.69 78.69 90.00°
Fractional positions:
1 Na 0.143 0.625 0.250
2 Na 0.375 0.393 0.750
3 Na 0.875 0.857 0.750
4 Na 0.607 0.125 0.250
5 Si 0.250 0.750 0.500
6 Si 0.500 0.500 0.000
7 Tl 0.000 0.000 0.000
8 Tl 0.750 0.250 0.500

Computed, not measured: an optimized crystal structure of NaTlSi at the PBE-GGA level of DFT.

Properties
Formation energy without anion corrections = 264 meV per atom
Electronic total energy = -2.772 eV per atom
SG = Pnma (62)

Cell: 10.715 7.115 4.254 Å, 90.00 90.00 90.00°
Fractional positions:
1 Tl 0.500 0.000 0.500
2 Tl 0.000 0.500 0.000
3 Tl 0.500 0.500 0.500
4 Tl 0.000 0.000 0.000
5 Na 0.291 0.750 0.046
6 Na 0.791 0.750 0.454
7 Na 0.709 0.250 0.954
8 Na 0.209 0.250 0.546
9 Si 0.581 0.750 0.931
10 Si 0.419 0.250 0.069
11 Si 0.081 0.750 0.569
12 Si 0.919 0.250 0.431

Computed, not measured: an optimized crystal structure of NaTlSi at the PBE-GGA level of DFT.

Properties
Formation energy without anion corrections = 83 meV per atom
Electronic total energy = -2.953 eV per atom
SG = Pnma (62)

Cell: 10.834 3.738 8.037 Å, 90.00 90.00 90.00°
Fractional positions:
1 Tl 0.968 0.250 0.682
2 Tl 0.032 0.750 0.318
3 Tl 0.532 0.750 0.182
4 Tl 0.468 0.250 0.818
5 Si 0.935 0.250 0.043
6 Si 0.435 0.250 0.457
7 Si 0.565 0.750 0.543
8 Si 0.065 0.750 0.957
9 Na 0.241 0.750 0.629
10 Na 0.759 0.250 0.371
11 Na 0.259 0.250 0.129
12 Na 0.741 0.750 0.871